Record 1
# Mg2ScTl, optimized geometry, DFT GGA-PBE
# Energy of formation from the pure elements = -0.073 eV/atom
# Total magnetization = 0.009 μB/cell
# Energy = -3.045 eV/atom
# Crystal system = orthorhombic
data_Mg2ScTl
_cell_length_a 3.579
_cell_length_b 3.858
_cell_length_c 6.741
_cell_angle_alpha 90.00
_cell_angle_beta 90.00
_cell_angle_gamma 90.00
_symmetry_space_group_name_H-M 'P 1'
_symmetry_Int_Tables_number 1
loop_
_symmetry_equiv_pos_as_xyz
'x,y,z'
loop_
_atom_site_label
_atom_site_fract_x
_atom_site_fract_y
_atom_site_fract_z
Mg1 0.000 0.000 0.000
Mg2 0.500 0.500 0.237
Sc1 0.000 0.000 0.494
Tl1 0.500 0.500 0.742

---

Record 2
# CaCuRh2, optimized geometry, DFT GGA-PBE
# Energy of formation from the pure elements = 0.040 eV/atom
# Total magnetization = 0.001 μB/cell
# Energy = -5.161 eV/atom
# Crystal system = tetragonal
data_CaCuRh2
_cell_length_a 4.902
_cell_length_b 4.902
_cell_length_c 4.902
_cell_angle_alpha 131.18
_cell_angle_beta 131.18
_cell_angle_gamma 71.52
_symmetry_space_group_name_H-M 'P 1'
_symmetry_Int_Tables_number 1
loop_
_symmetry_equiv_pos_as_xyz
'x,y,z'
loop_
_atom_site_label
_atom_site_fract_x
_atom_site_fract_y
_atom_site_fract_z
Ca1 0.000 0.000 0.000
Cu1 0.500 0.500 0.000
Rh1 0.250 0.750 0.500
Rh2 0.750 0.250 0.500

---

Record 3
# Th2GaPb, optimized geometry, DFT GGA-PBE
# Energy of formation from the pure elements = -0.242 eV/atom
# Total magnetization = 0.000 μB/cell
# Energy = -5.635 eV/atom
# Crystal system = trigonal
data_Th2GaPb
_cell_length_a 7.845
_cell_length_b 7.845
_cell_length_c 7.845
_cell_angle_alpha 32.65
_cell_angle_beta 32.65
_cell_angle_gamma 32.65
_symmetry_space_group_name_H-M 'P 1'
_symmetry_Int_Tables_number 1
loop_
_symmetry_equiv_pos_as_xyz
'x,y,z'
loop_
_atom_site_label
_atom_site_fract_x
_atom_site_fract_y
_atom_site_fract_z
Th1 0.243 0.243 0.243
Th2 0.757 0.757 0.757
Ga1 0.500 0.500 0.500
Pb1 0.000 0.000 0.000

---

Record 4
# Eu2YHo, optimized geometry, DFT GGA-PBE
# Energy of formation from the pure elements = 0.169 eV/atom
# Total magnetization = 14.710 μB/cell
# Energy = -7.729 eV/atom
# Crystal system = tetragonal
data_Eu2YHo
_cell_length_a 4.097
_cell_length_b 4.097
_cell_length_c 8.432
_cell_angle_alpha 90.00
_cell_angle_beta 90.00
_cell_angle_gamma 90.00
_symmetry_space_group_name_H-M 'P 1'
_symmetry_Int_Tables_number 1
loop_
_symmetry_equiv_pos_as_xyz
'x,y,z'
loop_
_atom_site_label
_atom_site_fract_x
_atom_site_fract_y
_atom_site_fract_z
Eu1 0.000 0.000 0.246
Eu2 0.000 0.000 0.754
Y1 0.500 0.500 0.500
Ho1 0.500 0.500 0.000

---

Calculated polymorph energy (0 for the lowest one) in order - 110, 82, 125, 0 meV per atom